First-principles (PBE) data for crystalline MgZr3N at its relaxed geometry, as listed in the Alexandria database.

Results
- DOS(E_F): 0.292 states/eV per atom
- Raw total energy: -7.7565 eV per atom
- Crystal system: triclinic
- Calculated density: 5.4 g/cm³
- Total moment: 0.0 μB per formula unit
- Symmetry: P1

a = 6.3758 Å, b = 5.7760 Å, c = 5.6886 Å
α = 80.16°, β = 86.42°, γ = 67.36°
Element x y z (fractional)
1 Mg 0.9513 0.9369 0.2124
2 Mg 0.0735 0.4706 0.9697
3 Zr 0.5744 0.4406 0.9423
4 Zr 0.4433 0.9699 0.2249
5 Zr 0.7032 0.9283 0.7012
6 Zr 0.3225 0.4676 0.4958
7 Zr 0.2078 0.9847 0.7379
8 Zr 0.8229 0.4371 0.4347
9 N 0.5112 0.7051 0.5862
10 N 0.3925 0.2070 0.8536

=====

First-principles (PBE) data for crystalline MgZr3N at its relaxed geometry, as listed in the Alexandria database.

Results
- DOS(E_F): 0.463 states/eV per atom
- Raw total energy: -7.7195 eV per atom
- Crystal system: triclinic
- Calculated density: 5.4 g/cm³
- Total moment: 0.0 μB per formula unit
- Symmetry: P-1

a = 5.7928 Å, b = 6.1161 Å, c = 7.8339 Å
α = 76.96°, β = 114.88°, γ = 62.67°
Element x y z (fractional)
1 Mg 0.7064 0.4669 0.5184
2 Mg 0.0164 0.6109 0.9133
3 Zr 0.2991 0.8336 0.6544
4 Zr 0.9831 0.7324 0.2753
5 Zr 0.4237 0.2442 0.7774
6 Zr 0.5286 0.0791 0.4024
7 Zr 0.1941 0.9987 0.0293
8 Zr 0.7396 0.3454 0.1564
9 N 0.2508 0.9151 0.3421
10 N 0.4719 0.1627 0.0896

=====

First-principles (PBE) data for crystalline MgZr3N4 at its relaxed geometry, as listed in the Alexandria database.

Results
- DOS(E_F): 0.175 states/eV per atom
- Raw total energy: -9.1114 eV per atom
- Crystal system: tetragonal
- Calculated density: 6.2 g/cm³
- Total moment: 0.0 μB per formula unit
- Symmetry: I4/mmm

a = 4.5644 Å, b = 4.5644 Å, c = 5.6012 Å
α = 114.04°, β = 114.04°, γ = 90.00°
Element x y z (fractional)
1 Mg 0.0000 0.0000 0.0000
2 Zr 0.5000 0.5000 0.0000
3 Zr 0.7500 0.2500 0.5000
4 Zr 0.2500 0.7500 0.5000
5 N 0.0000 0.5000 0.0000
6 N 0.5000 0.0000 0.0000
7 N 0.2469 0.2469 0.4937
8 N 0.7531 0.7531 0.5063

=====

First-principles (PBE) data for crystalline MgZr3N at its relaxed geometry, as listed in the Alexandria database.

Results
- DOS(E_F): 1.009 states/eV per atom
- Raw total energy: -6.8021 eV per atom
- Crystal system: tetragonal
- Calculated density: 3.6 g/cm³
- Total moment: 1.6 μB per formula unit
- Symmetry: P4mm

a = 4.2392 Å, b = 4.2392 Å, c = 7.9965 Å
α = 90.00°, β = 90.00°, γ = 90.00°
Element x y z (fractional)
1 Mg 0.0000 0.0000 0.1573
2 Zr 0.0000 0.0000 0.7553
3 Zr 0.5000 0.0000 0.4710
4 Zr 0.0000 0.5000 0.4710
5 N 0.5000 0.5000 0.4092

=====

Number 1: E_form (uncorrected) -62 kJ per mole of atoms. Number 2: E_form (uncorrected) -59 kJ per mole of atoms. Number 3: E_form (uncorrected) -149 kJ per mole of atoms. Number 4: E_form (uncorrected) 30 kJ per mole of atoms.